# NpTi2Cu, relaxed, DFT PBE
# - distance to the lowest polymorph of the same formula (eV/atom) = 0.060
# - magnetization (μB per formula unit) = 2.94
# - space group = P4/mmm (123)
# - D(E_F) (states/eV/f.u.) = 6.051
# - E_form (eV/atom) = 0.1688
data_NpTi2Cu
_symmetry_space_group_name_H-M 'P 1'
_symmetry_Int_Tables_number 1
_cell_length_a 4.732
_cell_length_b 4.732
_cell_length_c 2.925
_cell_angle_alpha 90.00
_cell_angle_beta 90.00
_cell_angle_gamma 90.00
loop_
_symmetry_equiv_pos_as_xyz
'x,y,z'
loop_
_atom_site_label
_atom_site_type_symbol
_atom_site_fract_x
_atom_site_fract_y
_atom_site_fract_z
_atom_site_occupancy
Np1 Np 0.000 0.000 0.000 1
Ti1 Ti 0.000 0.500 0.500 1
Ti2 Ti 0.500 0.000 0.500 1
Cu1 Cu 0.500 0.500 0.000 1


# NaCrHgI2, relaxed, DFT PBE
# - magnetization (μB per formula unit) = 5.20
# - space group = P4/mmm (123)
# - formation energy from raw total energies (meV/atom) = 180
# - D(E_F) (states/eV/f.u.) = 1.923
data_NaCrHgI2
_symmetry_space_group_name_H-M 'P 1'
_symmetry_Int_Tables_number 1
_cell_length_a 6.347
_cell_length_b 6.347
_cell_length_c 5.276
_cell_angle_alpha 90.00
_cell_angle_beta 90.00
_cell_angle_gamma 90.00
loop_
_symmetry_equiv_pos_as_xyz
'x,y,z'
loop_
_atom_site_label
_atom_site_type_symbol
_atom_site_fract_x
_atom_site_fract_y
_atom_site_fract_z
_atom_site_occupancy
Na1 Na 0.000 0.000 0.000 1
Cr1 Cr 0.500 0.500 0.000 1
Hg1 Hg 0.500 0.500 0.500 1
I1 I 0.000 0.500 0.500 1
I2 I 0.500 0.000 0.500 1


# SrGa3S, relaxed, DFT PBE
# - distance to the lowest polymorph of the same formula (eV/atom) = 0.000
# - magnetization (μB per formula unit) = 0.00
# - space group = Pm-3m (221)
# - formation energy from raw total energies (meV/atom) = -5
# - D(E_F) (states/eV/f.u.) = 3.400
data_SrGa3S
_symmetry_space_group_name_H-M 'P 1'
_symmetry_Int_Tables_number 1
_cell_length_a 5.124
_cell_length_b 5.124
_cell_length_c 5.124
_cell_angle_alpha 90.00
_cell_angle_beta 90.00
_cell_angle_gamma 90.00
loop_
_symmetry_equiv_pos_as_xyz
'x,y,z'
loop_
_atom_site_label
_atom_site_type_symbol
_atom_site_fract_x
_atom_site_fract_y
_atom_site_fract_z
_atom_site_occupancy
Sr1 Sr 0.000 0.000 0.000 1
Ga1 Ga 0.000 0.500 0.500 1
Ga2 Ga 0.500 0.000 0.500 1
Ga3 Ga 0.500 0.500 0.000 1
S1 S 0.500 0.500 0.500 1


# Sb2IrAuF, relaxed, DFT PBE
# - magnetization (μB per formula unit) = 1.45
# - space group = P4/mmm (123)
# - formation energy from raw total energies (meV/atom) = 999
# - D(E_F) (states/eV/f.u.) = 6.473
data_Sb2IrAuF
_symmetry_space_group_name_H-M 'P 1'
_symmetry_Int_Tables_number 1
_cell_length_a 5.265
_cell_length_b 5.265
_cell_length_c 5.155
_cell_angle_alpha 90.00
_cell_angle_beta 90.00
_cell_angle_gamma 90.00
loop_
_symmetry_equiv_pos_as_xyz
'x,y,z'
loop_
_atom_site_label
_atom_site_type_symbol
_atom_site_fract_x
_atom_site_fract_y
_atom_site_fract_z
_atom_site_occupancy
Sb1 Sb 0.000 0.500 0.000 1
Sb2 Sb 0.500 0.000 0.000 1
Ir1 Ir 0.000 0.000 0.500 1
Au1 Au 0.000 0.000 0.000 1
F1 F 0.500 0.500 0.500 1


# Cu2TeSe, relaxed, DFT PBE
# - distance to the lowest polymorph of the same formula (eV/atom) = 0.296
# - magnetization (μB per formula unit) = 0.00
# - space group = Cmmm (65)
# - formation energy from raw total energies (meV/atom) = 213
# - D(E_F) (states/eV/f.u.) = 1.831
data_Cu2TeSe
_symmetry_space_group_name_H-M 'P 1'
_symmetry_Int_Tables_number 1
_cell_length_a 3.884
_cell_length_b 7.253
_cell_length_c 6.552
_cell_angle_alpha 90.00
_cell_angle_beta 90.00
_cell_angle_gamma 90.00
loop_
_symmetry_equiv_pos_as_xyz
'x,y,z'
loop_
_atom_site_label
_atom_site_type_symbol
_atom_site_fract_x
_atom_site_fract_y
_atom_site_fract_z
_atom_site_occupancy
Cu1 Cu 0.000 0.000 0.224 1
Cu2 Cu 0.000 0.000 0.776 1
Cu3 Cu 0.500 0.500 0.224 1
Cu4 Cu 0.500 0.500 0.776 1
Te1 Te 0.000 0.500 0.500 1
Te2 Te 0.500 0.000 0.500 1
Se1 Se 0.000 0.500 0.000 1
Se2 Se 0.500 0.000 0.000 1


# Pr5Sm5Y, relaxed, DFT PBE
# - distance to the lowest polymorph of the same formula (eV/atom) = 0.000
# - magnetization (μB per formula unit) = 0.00
# - space group = P-6m2 (187)
# - D(E_F) (states/eV/f.u.) = 18.860
# - E_form (eV/atom) = 0.2736
data_Pr5Sm5Y
_symmetry_space_group_name_H-M 'P 1'
_symmetry_Int_Tables_number 1
_cell_length_a 6.246
_cell_length_b 6.246
_cell_length_c 11.745
_cell_angle_alpha 90.00
_cell_angle_beta 90.00
_cell_angle_gamma 120.00
loop_
_symmetry_equiv_pos_as_xyz
'x,y,z'
loop_
_atom_site_label
_atom_site_type_symbol
_atom_site_fract_x
_atom_site_fract_y
_atom_site_fract_z
_atom_site_occupancy
Pr1 Pr 0.000 0.000 0.000 1
Pr2 Pr 0.333 0.667 0.318 1
Pr3 Pr 0.333 0.667 0.682 1
Pr4 Pr 0.667 0.333 0.157 1
Pr5 Pr 0.667 0.333 0.843 1
Sm1 Sm 0.000 0.000 0.265 1
Sm2 Sm 0.000 0.000 0.735 1
Sm3 Sm 0.337 0.168 0.500 1
Sm4 Sm 0.832 0.168 0.500 1
Sm5 Sm 0.832 0.663 0.500 1
Y1 Y 0.333 0.667 0.000 1


# CuNi2Bi, relaxed, DFT PBE
# - magnetization (μB per formula unit) = 0.00
# - space group = I-42d (122)
# - D(E_F) (states/eV/f.u.) = 3.018
# - E_form (eV/atom) = 0.4056
data_CuNi2Bi
_symmetry_space_group_name_H-M 'P 1'
_symmetry_Int_Tables_number 1
_cell_length_a 3.881
_cell_length_b 3.881
_cell_length_c 17.342
_cell_angle_alpha 90.00
_cell_angle_beta 90.00
_cell_angle_gamma 90.00
loop_
_symmetry_equiv_pos_as_xyz
'x,y,z'
loop_
_atom_site_label
_atom_site_type_symbol
_atom_site_fract_x
_atom_site_fract_y
_atom_site_fract_z
_atom_site_occupancy
Cu1 Cu 0.000 0.000 0.000 1
Cu2 Cu 0.000 0.500 0.250 1
Cu3 Cu 0.500 0.000 0.750 1
Cu4 Cu 0.500 0.500 0.500 1
Ni1 Ni 0.198 0.250 0.125 1
Ni2 Ni 0.250 0.698 0.375 1
Ni3 Ni 0.250 0.802 0.875 1
Ni4 Ni 0.302 0.250 0.625 1
Ni5 Ni 0.698 0.750 0.625 1
Ni6 Ni 0.750 0.198 0.875 1
Ni7 Ni 0.750 0.302 0.375 1
Ni8 Ni 0.802 0.750 0.125 1
Bi1 Bi 0.000 0.000 0.500 1
Bi2 Bi 0.000 0.500 0.750 1
Bi3 Bi 0.500 0.000 0.250 1
Bi4 Bi 0.500 0.500 0.000 1